MgCoTc2 | PBE | relaxed

Crystal system ... monoclinic
DOS(E_F) ... 4.44 states/eV per cell
Symmetry ... C2/m, No. 12

Lattice parameters (Å, degrees): 5.056 5.056 2.622 82.39 82.39 118.81
Fractional positions:
Co 0.500 0.000 0.500
Mg 0.000 0.500 0.500
Tc 0.000 0.000 0.000
Tc 0.500 0.500 0.000

MgCoTc2 | PBE | relaxed

Crystal system ... orthorhombic
DOS(E_F) ... 5.40 states/eV per cell
Symmetry ... Pmm2, No. 25

Lattice parameters (Å, degrees): 2.736 3.829 5.505 90.00 90.00 90.00
Fractional positions:
Co 0.000 0.000 0.495
Mg 0.500 0.500 0.734
Tc 0.000 0.000 0.027
Tc 0.500 0.500 0.244

Mg2CoTc | PBE | relaxed

Crystal system ... monoclinic
DOS(E_F) ... 3.58 states/eV per cell
Symmetry ... Pm, No. 6

Lattice parameters (Å, degrees): 4.230 2.785 5.449 77.26 90.00 90.00
Fractional positions:
Co 0.500 0.667 0.720
Mg 0.000 0.960 0.981
Mg 0.500 0.273 0.273
Tc 0.000 0.600 0.526

Mg4CoTc | PBE | relaxed

Crystal system ... cubic
DOS(E_F) ... 5.53 states/eV per cell
Symmetry ... F-43m, No. 216

Lattice parameters (Å, degrees): 5.352 5.352 5.352 60.00 60.00 60.00
Fractional positions:
Mg 0.875 0.375 0.375
Mg 0.375 0.375 0.875
Mg 0.375 0.875 0.375
Mg 0.375 0.375 0.375
Co 0.000 0.000 0.000
Tc 0.750 0.750 0.750

MgCoTc | PBE | relaxed

Crystal system ... monoclinic
DOS(E_F) ... 8.43 states/eV per cell
Symmetry ... Cm, No. 8

Lattice parameters (Å, degrees): 2.781 4.684 6.811 87.14 78.21 90.02
Fractional positions:
Mg 0.888 0.107 0.331
Mg 0.735 0.533 0.636
Co 0.556 0.235 0.994
Co 0.401 0.620 0.305
Tc 0.190 0.018 0.726
Tc 0.049 0.678 0.008

MgCoTc | PBE | relaxed

Crystal system ... orthorhombic
DOS(E_F) ... 7.00 states/eV per cell
Symmetry ... Pmmn, No. 59

Lattice parameters (Å, degrees): 8.741 2.745 3.711 90.00 90.00 90.00
Fractional positions:
Mg 0.222 0.784 0.114
Mg 0.448 0.284 0.614
Co 0.056 0.284 0.614
Co 0.615 0.784 0.114
Tc 0.907 0.783 0.114
Tc 0.763 0.283 0.614

MgCoTc | PBE | relaxed

Crystal system ... monoclinic
DOS(E_F) ... 2.70 states/eV per cell
Symmetry ... C2/m, No. 12

Lattice parameters (Å, degrees): 5.031 3.965 5.353 111.72 95.23 66.80
Fractional positions:
Mg 0.158 0.846 0.611
Mg 0.791 0.364 0.280
Co 0.375 0.047 0.230
Co 0.575 0.162 0.660
Tc 0.730 0.691 0.873
Tc 0.219 0.519 0.018

MgCoTc | PBE | relaxed

Crystal system ... monoclinic
DOS(E_F) ... 6.84 states/eV per cell
Symmetry ... C2/m, No. 12

Lattice parameters (Å, degrees): 5.429 3.009 5.716 90.00 74.81 73.91
Fractional positions:
Mg 0.327 0.701 0.439
Mg 0.344 0.693 0.955
Co 0.705 0.012 0.112
Co 0.965 0.382 0.282
Tc 0.703 0.013 0.596
Tc 0.967 0.381 0.798

Number 1: calculated formation energy 0.261 eV/atom. Number 2: calculated formation energy 0.236 eV/atom. Number 3: calculated formation energy 0.235 eV/atom. Number 4: calculated formation energy 0.681 eV/atom. Number 5: calculated formation energy 0.217 eV/atom. Number 6: calculated formation energy 0.210 eV/atom. Number 7: calculated formation energy 0.103 eV/atom. Number 8: calculated formation energy 0.147 eV/atom.